This record from Alexandria via LeMat-Bulk describes PaCrBiO6 after structural relaxation. The functional is PBE+U.

Cell: 5.494 5.494 9.699 Å, 90.00 90.00 120.00°
Positions (direct):
Pa: 0.333 0.667 0.250
Pa: 0.667 0.333 0.750
Cr: 0.333 0.667 0.750
Cr: 0.667 0.333 0.250
Bi: 0.000 0.000 0.000
Bi: 0.000 0.000 0.500
O: 0.023 0.364 0.638
O: 0.023 0.658 0.862
O: 0.342 0.364 0.862
O: 0.342 0.977 0.638
O: 0.364 0.023 0.138
O: 0.364 0.342 0.362
O: 0.636 0.658 0.638
O: 0.636 0.977 0.862
O: 0.658 0.023 0.362
O: 0.658 0.636 0.138
O: 0.977 0.342 0.138
O: 0.977 0.636 0.362

Output
* D(E_F): 8.56 states/eV/cell
* calculated density: 7.7 g/cm3
* volume: 253.5 Å³/cell
* total moment: 0.2268 μB/atom
* E: -0.575 Ry/atom